No. 1
# Na3B2S4, relaxed, DFT GGA-PBE
data_Na3B2S4
_cell_length_a 18.916
_cell_length_b 6.737
_cell_length_c 6.011
_cell_angle_alpha 90.00
_cell_angle_beta 90.67
_cell_angle_gamma 90.00
_space_group_name_H-M_alt 'C 1 2/c 1'
_space_group_IT_number 15
loop_
_space_group_symop_operation_xyz
'x,y,z'
'-x,-y,-z'
'-x,y,-z+1/2'
'x,-y,z+1/2'
'x+1/2,y+1/2,z'
'-x+1/2,-y+1/2,-z'
'-x+1/2,y+1/2,-z+1/2'
'x+1/2,-y+1/2,z+1/2'
loop_
_atom_site_label
_atom_site_fract_x
_atom_site_fract_y
_atom_site_fract_z
Na1 0.000 0.022 0.250
Na2 0.151 0.360 0.969
B1 0.169 0.077 0.518
S1 0.090 0.232 0.523
S2 0.219 0.005 0.268
# Relative energy among the computed polymorphs ... 0.0 meV per atom
# DFT total energy ... -4.397 eV/atom
# Size of the total moment ... 0.001 Bohr magnetons per cell

=====

No. 2
# NaBS2, relaxed, DFT GGA-PBE
data_NaBS2
_cell_length_a 15.2121
_cell_length_b 15.2121
_cell_length_c 7.6365
_cell_angle_alpha 90.00
_cell_angle_beta 90.00
_cell_angle_gamma 120.00
_space_group_name_H-M_alt 'R -3 c'
_space_group_IT_number 167
_space_group_name_Hall '-R 3 2"c'
loop_
_atom_site_label
_atom_site_fract_x
_atom_site_fract_y
_atom_site_fract_z
Na1 0.0000 0.4647 0.2500
B1 0.0000 0.1174 0.2500
S1 0.0000 0.1229 0.7500
S2 0.0000 0.2341 0.2500
# DFT total energy ... -4.839 eV/atom
# Size of the total moment ... 0.000 Bohr magnetons per cell

=====

No. 3
# NaBS3, relaxed, DFT GGA-PBE
data_NaBS3
_cell_length_a 4.324
_cell_length_b 4.324
_cell_length_c 4.324
_cell_angle_alpha 90.00
_cell_angle_beta 90.00
_cell_angle_gamma 90.00
_space_group_name_H-M_alt 'P m -3 m'
_space_group_IT_number 221
_space_group_name_Hall '-P 4 2 3'
loop_
_atom_site_label
_atom_site_fract_x
_atom_site_fract_y
_atom_site_fract_z
Na1 0.000 0.000 0.000
B1 0.500 0.500 0.500
S1 0.000 0.500 0.500
# Relative energy among the computed polymorphs ... 843.8 meV per atom
# DFT total energy ... -3.738 eV/atom
# Size of the total moment ... 0.000 Bohr magnetons per cell

=====

No. 4
# Na2B3S5, relaxed, DFT GGA-PBE
data_Na2B3S5
_cell_length_a 8.874
_cell_length_b 14.942
_cell_length_c 5.638
_cell_angle_alpha 90.00
_cell_angle_beta 90.00
_cell_angle_gamma 90.00
_space_group_name_H-M_alt 'I b a m'
_space_group_IT_number 72
_space_group_name_Hall '-I 2 2c'
loop_
_atom_site_label
_atom_site_fract_x
_atom_site_fract_y
_atom_site_fract_z
Na1 0.178 0.157 0.000
B1 0.000 0.000 0.250
B2 0.002 0.394 0.000
S1 0.000 0.311 0.250
S2 0.000 0.500 0.250
S3 0.108 0.068 0.500
# DFT total energy ... -4.542 eV/atom
# Size of the total moment ... 0.000 Bohr magnetons per cell

=====

No. 5
# Na3B2S4, relaxed, DFT GGA-PBE
data_Na3B2S4
_cell_length_a 11.929
_cell_length_b 10.052
_cell_length_c 5.709
_cell_angle_alpha 90.00
_cell_angle_beta 90.84
_cell_angle_gamma 90.00
_space_group_name_H-M_alt 'C 1 2/c 1'
_space_group_IT_number 15
loop_
_space_group_symop_operation_xyz
'x,y,z'
'-x,-y,-z'
'-x,y,-z+1/2'
'x,-y,z+1/2'
'x+1/2,y+1/2,z'
'-x+1/2,-y+1/2,-z'
'-x+1/2,y+1/2,-z+1/2'
'x+1/2,-y+1/2,z+1/2'
loop_
_atom_site_label
_atom_site_fract_x
_atom_site_fract_y
_atom_site_fract_z
Na1 0.000 0.123 0.250
Na2 0.110 0.364 0.549
B1 0.238 0.069 0.902
S1 0.130 0.348 0.043
S2 0.170 0.059 0.603
# Relative energy among the computed polymorphs ... 13.4 meV per atom
# DFT total energy ... -4.383 eV/atom
# Size of the total moment ... 3.865 Bohr magnetons per cell

=====

No. 6
# NaBS3, relaxed, DFT GGA-PBE
data_NaBS3
_cell_length_a 6.624
_cell_length_b 8.883
_cell_length_c 7.977
_cell_angle_alpha 90.00
_cell_angle_beta 90.00
_cell_angle_gamma 90.00
_space_group_name_H-M_alt 'P n m a'
_space_group_IT_number 62
loop_
_space_group_symop_operation_xyz
'x,y,z'
'-x,-y,-z'
'-x+1/2,-y,z+1/2'
'x+1/2,y,-z+1/2'
'x+1/2,-y+1/2,-z+1/2'
'-x+1/2,y+1/2,z+1/2'
'-x,y+1/2,-z'
'x,-y+1/2,z'
loop_
_atom_site_label
_atom_site_fract_x
_atom_site_fract_y
_atom_site_fract_z
Na1 0.000 0.000 0.000
B1 0.055 0.250 0.478
S1 0.120 0.628 0.638
S2 0.242 0.750 0.113
# Relative energy among the computed polymorphs ... 72.8 meV per atom
# DFT total energy ... -4.509 eV/atom
# Size of the total moment ... 0.000 Bohr magnetons per cell

=====

No. 7
# Na3BS3, relaxed, DFT GGA-PBE
data_Na3BS3
_cell_length_a 7.458
_cell_length_b 5.619
_cell_length_c 7.463
_cell_angle_alpha 90.00
_cell_angle_beta 101.62
_cell_angle_gamma 90.00
_space_group_name_H-M_alt 'P 1 21/m 1'
_space_group_IT_number 11
loop_
_space_group_symop_operation_xyz
'x,y,z'
'-x,-y,-z'
'-x,y+1/2,-z'
'x,-y+1/2,z'
loop_
_atom_site_label
_atom_site_fract_x
_atom_site_fract_y
_atom_site_fract_z
Na1 0.094 0.250 0.324
Na2 0.324 0.750 0.095
Na3 0.388 0.750 0.613
B1 0.211 0.250 0.789
S1 0.035 0.750 0.307
S2 0.306 0.250 0.034
S3 0.371 0.250 0.628
# Relative energy among the computed polymorphs ... 42.5 meV per atom
# DFT total energy ... -4.198 eV/atom
# Size of the total moment ... 0.000 Bohr magnetons per cell

=====

No. 8
# Na2BS, relaxed, DFT GGA-PBE
data_Na2BS
_cell_length_a 6.646
_cell_length_b 6.646
_cell_length_c 6.646
_cell_angle_alpha 90.00
_cell_angle_beta 90.00
_cell_angle_gamma 90.00
_space_group_name_H-M_alt 'F m -3 m'
_space_group_IT_number 225
_space_group_name_Hall '-F 4 2 3'
loop_
_atom_site_label
_atom_site_fract_x
_atom_site_fract_y
_atom_site_fract_z
Na1 0.250 0.250 0.250
B1 0.000 0.000 0.000
S1 0.000 0.000 0.500
# Relative energy among the computed polymorphs ... 0.0 meV per atom
# DFT total energy ... -2.876 eV/atom
# Size of the total moment ... 3.839 Bohr magnetons per cell

=====

Number 1: E_form (uncorrected) -0.64 eV per atom. Number 2: E_form (uncorrected) -0.78 eV per atom. Number 3: E_form (uncorrected) 0.34 eV per atom. Number 4: E_form (uncorrected) -0.21 eV per atom. Number 5: E_form (uncorrected) -0.63 eV per atom. Number 6: E_form (uncorrected) -0.43 eV per atom. Number 7: E_form (uncorrected) -0.91 eV per atom. Number 8: E_form (uncorrected) 0.48 eV per atom.